Rb2VSbO4 | Alexandria via LeMat-Bulk | PBE with a Hubbard U | optimized geometry; DFT total energy = -5.770 eV per atom; space group = No. 1
1.0
5.6138 0.0000 0.0000
0.4731 5.5993 0.0000
0.4189 0.5862 5.5977
Rb V Sb O
2 1 1 4
direct
0.0000 0.0000 0.0000
0.9996 0.4917 0.5085
0.5228 0.5126 0.0196
0.4614 0.9490 0.4598
0.3870 0.7133 0.2285
0.4333 0.6203 0.7324
0.4399 0.2223 0.1156
0.8270 0.5122 0.0183